Entry from Alexandria via LeMat-Bulk: a relaxed Mo3W5 crystal (GGA-PBEsol).

a b c (Å): 6.287 8.892 8.892
angles (deg): 90.00 90.00 90.00
Space group Amm2 (No. 38)
Asymmetric unit:
Mo (0.000, 0.000, 0.000) (multiplicity 2)
Mo (0.000, 0.250, 0.249) (multiplicity 4)
Mo (0.250, 0.000, 0.249) (multiplicity 4)
Mo (0.500, 0.000, 0.499) (multiplicity 2)
W (0.000, 0.000, 0.499) (multiplicity 2)
W (0.249, 0.000, 0.749) (multiplicity 4)
W (0.249, 0.250, 0.499) (multiplicity 8)
W (0.500, 0.000, 0.000) (multiplicity 2)
W (0.500, 0.249, 0.249) (multiplicity 4)

Size of the total moment in μB/atom: 0.00
Formation enthalpy at 0 K in eV per atom: 0.001
Density in Mg/m³: 16.13
Distance to the lowest polymorph of the same formula in eV/f.u.: 0.047
DOS(E_F) in states/eV/cell: 18.78
Volume in Å³ per atom: 15.53

=====

Entry from Alexandria via LeMat-Bulk: a relaxed MoW3 crystal (GGA-PBEsol).

a b c (Å): 4.453 4.453 3.145
angles (deg): 90.00 90.00 90.00
Space group P4/mmm (No. 123)
Asymmetric unit:
Mo (0.000, 0.000, 0.000) (multiplicity 1)
W (0.000, 0.500, 0.500) (multiplicity 2)
W (0.500, 0.500, 0.000) (multiplicity 1)

Size of the total moment in μB/atom: 0.00
Formation enthalpy at 0 K in eV per atom: -0.001
Density in Mg/m³: 17.24
Distance to the lowest polymorph of the same formula in eV/f.u.: 0.004
DOS(E_F) in states/eV/cell: 1.80
Volume in Å³ per atom: 15.59

=====

Entry from Alexandria via LeMat-Bulk: a relaxed MoW2 crystal (GGA-PBEsol).

a b c (Å): 3.146 13.363 4.437
angles (deg): 90.00 90.00 90.00
Space group Cmcm (No. 63)
Asymmetric unit:
Mo (0.000, 0.083, 0.250) (multiplicity 4)
W (0.000, 0.250, 0.750) (multiplicity 4)
W (0.000, 0.417, 0.250) (multiplicity 4)

Size of the total moment in μB/atom: 0.00
Formation enthalpy at 0 K in eV per atom: -0.003
Density in Mg/m³: 16.51
Distance to the lowest polymorph of the same formula in eV/f.u.: 0.000
DOS(E_F) in states/eV/cell: 5.50
Volume in Å³ per atom: 15.55

=====

Entry from Alexandria via LeMat-Bulk: a relaxed Mo3W13 crystal (GGA-PBEsol).

a b c (Å): 6.297 8.906 8.907
angles (deg): 90.00 90.00 90.00
Space group Amm2 (No. 38)
Asymmetric unit:
Mo (0.000, 0.000, 0.000) (multiplicity 2)
Mo (0.250, 0.000, 0.249) (multiplicity 4)
W (0.000, 0.000, 0.499) (multiplicity 2)
W (0.000, 0.249, 0.250) (multiplicity 4)
W (0.250, 0.000, 0.750) (multiplicity 4)
W (0.250, 0.250, 0.000) (multiplicity 8)
W (0.500, 0.000, 0.000) (multiplicity 2)
W (0.500, 0.000, 0.499) (multiplicity 2)
W (0.500, 0.249, 0.250) (multiplicity 4)

Size of the total moment in μB/atom: 0.00
Formation enthalpy at 0 K in eV per atom: 0.003
Density in Mg/m³: 17.80
DOS(E_F) in states/eV/cell: 17.97
Volume in Å³ per atom: 15.61

=====

Entry from Alexandria via LeMat-Bulk: a relaxed Mo3W5 crystal (GGA-PBEsol).

a b c (Å): 6.278 8.876 4.455
angles (deg): 90.00 90.00 90.00
Space group Cmmm (No. 65)
Asymmetric unit:
Mo (0.000, 0.000, 0.000) (multiplicity 2)
Mo (0.000, 0.250, 0.500) (multiplicity 4)
W (0.000, 0.500, 0.000) (multiplicity 2)
W (0.249, 0.000, 0.500) (multiplicity 4)
W (0.250, 0.250, 0.000) (multiplicity 4)

Size of the total moment in μB/atom: 0.00
Formation enthalpy at 0 K in eV per atom: -0.005
Density in Mg/m³: 16.15
Distance to the lowest polymorph of the same formula in eV/f.u.: 0.000
DOS(E_F) in states/eV/cell: 7.32
Volume in Å³ per atom: 15.52

=====

Entry from Alexandria via LeMat-Bulk: a relaxed MoW crystal (GGA-PBEsol).

a b c (Å): 2.642 2.642 9.067
angles (deg): 90.00 90.00 90.00
Space group P4/nmm (No. 129, origin choice 2)
Asymmetric unit:
Mo (0.250, 0.250, 0.125) (multiplicity 2)
W (0.250, 0.250, 0.625) (multiplicity 2)

Size of the total moment in μB/atom: 0.00
Formation enthalpy at 0 K in eV per atom: 0.378
Density in Mg/m³: 14.69
Distance to the lowest polymorph of the same formula in eV/f.u.: 0.771
DOS(E_F) in states/eV/cell: 3.21
Volume in Å³ per atom: 15.82